Entry 1:
# GGA-PBE Ce3Tm12Bi5, optimized geometry
data_Ce3Tm12Bi5
_chemical_formula_sum 'Ce24 Tm96 Bi40'
_cell_length_a 18.2474
_cell_length_b 18.2474
_cell_length_c 18.2474
_cell_angle_alpha 90.00
_cell_angle_beta 90.00
_cell_angle_gamma 90.00
_space_group_name_H-M_alt 'I a -3 d'
_space_group_IT_number 230
_space_group_name_Hall '-I 4bd 2c 3'
loop_
_atom_site_label
_atom_site_type_symbol
_atom_site_fract_x
_atom_site_fract_y
_atom_site_fract_z
Ce1 Ce 0.0000 0.2500 0.1250
Tm1 Tm 0.0209 0.0789 0.6481
Bi1 Bi 0.0000 0.0000 0.0000
Bi2 Bi 0.0000 0.2500 0.3750
# energy of formation: 6.37 eV per formula unit
# magnetization: 52.88 Bohr magnetons per cell
# Fermi-level density of states: 1.970 states/eV/atom

Entry 2:
# GGA-PBE Ce2Tm5Bi4, optimized geometry
data_Ce2Tm5Bi4
_chemical_formula_sum 'Ce4 Tm10 Bi8'
_cell_length_a 20.3027
_cell_length_b 4.8413
_cell_length_c 7.2493
_cell_angle_alpha 90.00
_cell_angle_beta 95.93
_cell_angle_gamma 90.00
_space_group_name_H-M_alt 'C 1 2/m 1'
_space_group_IT_number 12
_space_group_name_Hall '-C 2y'
loop_
_atom_site_label
_atom_site_type_symbol
_atom_site_fract_x
_atom_site_fract_y
_atom_site_fract_z
Ce1 Ce 0.2145 0.0000 0.3418
Tm1 Tm 0.0000 0.0000 0.5000
Tm2 Tm 0.1221 0.5000 0.5411
Tm3 Tm 0.1359 0.5000 0.0405
Bi1 Bi 0.0009 0.5000 0.2252
Bi2 Bi 0.1915 0.0000 0.8119
# energy of formation: -2.75 eV per formula unit
# magnetization: 4.74 Bohr magnetons per cell
# Fermi-level density of states: 1.711 states/eV/atom

Entry 3:
# GGA-PBE CeTm3Bi, optimized geometry
data_CeTm3Bi
_chemical_formula_sum 'Ce4 Tm12 Bi4'
_cell_length_a 16.0334
_cell_length_b 5.4797
_cell_length_c 6.6544
_cell_angle_alpha 90.00
_cell_angle_beta 90.17
_cell_angle_gamma 90.00
_space_group_name_H-M_alt 'C 1 2/m 1'
_space_group_IT_number 12
_space_group_name_Hall '-C 2y'
loop_
_atom_site_label
_atom_site_type_symbol
_atom_site_fract_x
_atom_site_fract_y
_atom_site_fract_z
Ce1 Ce 0.0842 0.0000 0.0213
Tm1 Tm 0.0095 0.5000 0.7481
Tm2 Tm 0.1057 0.0000 0.5030
Tm3 Tm 0.1960 0.5000 0.2397
Bi1 Bi 0.2074 0.5000 0.7464
# energy of formation: -1.12 eV per formula unit
# magnetization: 3.32 Bohr magnetons per cell
# Fermi-level density of states: 1.738 states/eV/atom

Entry 4:
# GGA-PBE CeTm2Bi, optimized geometry
data_CeTm2Bi
_chemical_formula_sum 'Ce2 Tm4 Bi2'
_cell_length_a 7.0682
_cell_length_b 4.7340
_cell_length_c 7.0943
_cell_angle_alpha 90.00
_cell_angle_beta 94.92
_cell_angle_gamma 90.00
_space_group_name_H-M_alt 'P 1 21/m 1'
_space_group_IT_number 11
_space_group_name_Hall '-P 2yb'
loop_
_atom_site_label
_atom_site_type_symbol
_atom_site_fract_x
_atom_site_fract_y
_atom_site_fract_z
Ce1 Ce 0.1141 0.2500 0.3565
Tm1 Tm 0.3567 0.7500 0.1094
Tm2 Tm 0.3774 0.7500 0.6154
Bi1 Bi 0.1601 0.2500 0.8443
# energy of formation: -1.15 eV per formula unit
# magnetization: 1.79 Bohr magnetons per cell
# Fermi-level density of states: 2.270 states/eV/atom
# energy above the lowest structure with this stoichiometry: 0.08 eV per formula unit

Q: Which formula does entry 1 have?
A: Ce3Tm12Bi5

Q: What is the energy of formation in the second record?
A: -2.75 eV per formula unit